Hf2InHBr: relaxed, PBE.

abc: 5.3590 5.3590 3.3113
angles: 90.00 90.00 90.00
Positions (direct):
Hf 0.0000 0.5000 0.0000
Hf 0.5000 0.0000 0.0000
In 0.0000 0.0000 0.5000
H 0.5000 0.5000 0.5000
Br 0.5000 0.5000 0.0000

Values from the calculation:
The theoretical density comes out at 9.65 g cm⁻³. The total DFT energy (no corrections) comes out at -24.9 eV for the cell shown.